A relaxed VPdO2 crystal. Source: Alexandria, functional GGA+U.

Results
energy above the most stable polymorph in this dataset = 4.095 eV per formula unit
space-group type = Fm-3m
density of states at the Fermi level = 3.8 states/eV per cell
size of the total moment = 0.73 μB/atom

Cell lengths 3.925, 3.925, 3.925 Å; angles 60.00, 60.00, 60.00 degrees
Site moments in Bohr magnetons follow the coordinates.
Positions (direct):
Pd 0.500 0.500 0.500  0.67
O 0.250 0.250 0.250  0.05
O 0.750 0.750 0.750  0.05
V 0.000 0.000 0.000  2.02